Record 1
## Eu2LuBr (PBE-GGA)

Data for a relaxed structure of Eu2LuBr.

Cell and atoms, written as CIF:
```
data_Eu2LuBr
_chemical_formula_sum 'Eu2 Lu1 Br1'
_space_group_name_H-M_alt 'P 1'
_space_group_IT_number 1
_cell_length_a 3.822
_cell_length_b 3.822
_cell_length_c 10.828
_cell_angle_alpha 79.84
_cell_angle_beta 79.84
_cell_angle_gamma 60.00
loop_
_space_group_symop_operation_xyz
'x,y,z'
loop_
_atom_site_label
_atom_site_type_symbol
_atom_site_fract_x
_atom_site_fract_y
_atom_site_fract_z
Eu1 Eu 0.741 0.741 0.778
Eu2 Eu 0.259 0.259 0.222
Lu1 Lu 0.500 0.500 0.500
Br1 Br 0.000 0.000 0.000
```

Output
total magnetic moment = 15.3 μB/cell
crystal system = trigonal
calculated volume = 33.520 A^3/atom
VASP energy = -7.307 eV/atom
raw formation energy = -0.621 eV/atom

***

Record 2
## Pm2Pr3Sm6Sc (PBE-GGA)

Data for a relaxed structure of Pm2Pr3Sm6Sc.

Cell and atoms, written as CIF:
```
data_Pm2Pr3Sm6Sc
_chemical_formula_sum 'Pm2 Pr3 Sm6 Sc1'
_space_group_name_H-M_alt 'P 1'
_space_group_IT_number 1
_cell_length_a 6.278
_cell_length_b 6.278
_cell_length_c 12.035
_cell_angle_alpha 95.00
_cell_angle_beta 95.00
_cell_angle_gamma 119.99
loop_
_space_group_symop_operation_xyz
'x,y,z'
loop_
_atom_site_label
_atom_site_type_symbol
_atom_site_fract_x
_atom_site_fract_y
_atom_site_fract_z
Pm1 Pm 0.333 0.667 0.000
Pm2 Pm 0.667 0.333 0.000
Pr1 Pr 0.167 0.833 0.500
Pr2 Pr 0.833 0.167 0.500
Pr3 Pr 0.500 0.500 0.500
Sm1 Sm 0.919 0.589 0.755
Sm2 Sm 0.751 0.751 0.245
Sm3 Sm 0.081 0.411 0.245
Sm4 Sm 0.589 0.919 0.755
Sm5 Sm 0.249 0.249 0.755
Sm6 Sm 0.411 0.081 0.245
Sc1 Sc 0.000 0.000 0.000
```

Output
total magnetic moment = 0.0 μB/cell
crystal system = monoclinic
calculated volume = 33.714 A^3/atom
VASP energy = -4.846 eV/atom
energy relative to the elements = 0.03 eV per atom

***

> The lowest total magnetic moment belongs to which entry?

Pm2Pr3Sm6Sc

***

> Which value of total magnetic moment does entry 2 give?

0.0 μB/cell

***

Please write out number 1 again, unchanged.
## Eu2LuBr (PBE-GGA)

Data for a relaxed structure of Eu2LuBr.

Cell and atoms, written as CIF:
```
data_Eu2LuBr
_chemical_formula_sum 'Eu2 Lu1 Br1'
_space_group_name_H-M_alt 'P 1'
_space_group_IT_number 1
_cell_length_a 3.822
_cell_length_b 3.822
_cell_length_c 10.828
_cell_angle_alpha 79.84
_cell_angle_beta 79.84
_cell_angle_gamma 60.00
loop_
_space_group_symop_operation_xyz
'x,y,z'
loop_
_atom_site_label
_atom_site_type_symbol
_atom_site_fract_x
_atom_site_fract_y
_atom_site_fract_z
Eu1 Eu 0.741 0.741 0.778
Eu2 Eu 0.259 0.259 0.222
Lu1 Lu 0.500 0.500 0.500
Br1 Br 0.000 0.000 0.000
```

Output
total magnetic moment = 15.3 μB/cell
crystal system = trigonal
calculated volume = 33.520 A^3/atom
VASP energy = -7.307 eV/atom
raw formation energy = -0.621 eV/atom

***

> Which value of total magnetic moment does entry 2 give?

0.0 μB/cell